[1]
Computed, not measured: crystalline HfTaFeNi at its relaxed geometry at the PBE level of DFT.

DFT formation energy = -0.9 eV per formula unit

abc: 6.226 6.226 6.226
angles: 90.00 90.00 90.00
Fractional positions:
Hf  0.000  0.000  0.000
Hf  0.000  0.500  0.500
Hf  0.500  0.000  0.500
Hf  0.500  0.500  0.000
Ta  0.000  0.000  0.500
Ta  0.000  0.500  0.000
Ta  0.500  0.000  0.000
Ta  0.500  0.500  0.500
Fe  0.250  0.250  0.750
Fe  0.250  0.750  0.250
Fe  0.750  0.250  0.250
Fe  0.750  0.750  0.750
Ni  0.250  0.250  0.250
Ni  0.250  0.750  0.750
Ni  0.750  0.250  0.750
Ni  0.750  0.750  0.250



[2]
Computed, not measured: crystalline MnHg2Ir at its relaxed geometry at the PBE level of DFT.

distance to the lowest polymorph of the same formula = 0.1868 eV/atom
DFT formation energy = 1.6 eV per formula unit

abc: 3.056 3.992 5.811
angles: 90.00 90.21 90.00
Fractional positions:
Mn  0.000  0.000  0.000
Hg  0.500  0.500  0.251
Hg  0.500  0.500  0.749
Ir  0.000  0.000  0.500



[3]
Computed, not measured: crystalline La2MoPd at its relaxed geometry at the PBE level of DFT.

distance to the lowest polymorph of the same formula = 0.0000 eV/atom
DFT formation energy = 0.3 eV per formula unit

abc: 7.264 7.264 7.264
angles: 90.00 90.00 90.00
Fractional positions:
La  0.250  0.250  0.250
La  0.250  0.250  0.750
La  0.250  0.750  0.250
La  0.250  0.750  0.750
La  0.750  0.250  0.250
La  0.750  0.250  0.750
La  0.750  0.750  0.250
La  0.750  0.750  0.750
Mo  0.000  0.000  0.000
Mo  0.000  0.500  0.500
Mo  0.500  0.000  0.500
Mo  0.500  0.500  0.000
Pd  0.000  0.000  0.500
Pd  0.000  0.500  0.000
Pd  0.500  0.000  0.000
Pd  0.500  0.500  0.500



[4]
Computed, not measured: crystalline Ce6Ga3Hg at its relaxed geometry at the PBE level of DFT.

DFT formation energy = -2.1 eV per formula unit

abc: 7.880 7.963 10.345
angles: 90.00 127.96 90.00
Fractional positions:
Ce  0.008  0.129  0.209
Ce  0.008  0.371  0.709
Ce  0.297  0.206  0.144
Ce  0.297  0.294  0.644
Ce  0.398  0.618  0.031
Ce  0.398  0.882  0.531
Ce  0.602  0.118  0.469
Ce  0.602  0.382  0.969
Ce  0.703  0.706  0.356
Ce  0.703  0.794  0.856
Ce  0.992  0.629  0.291
Ce  0.992  0.871  0.791
Ga  0.000  0.000  0.500
Ga  0.000  0.500  0.000
Ga  0.219  0.675  0.674
Ga  0.219  0.825  0.174
Ga  0.781  0.175  0.826
Ga  0.781  0.325  0.326
Hg  0.500  0.000  0.000
Hg  0.500  0.500  0.500



[5]
Computed, not measured: crystalline Mg2GaPb at its relaxed geometry at the PBE level of DFT.

DFT formation energy = -0.4 eV per formula unit

abc: 3.436 3.436 7.786
angles: 90.00 90.00 90.00
Fractional positions:
Mg  0.000  0.000  0.212
Mg  0.000  0.000  0.788
Ga  0.500  0.500  0.000
Pb  0.500  0.500  0.500



[6]
Computed, not measured: crystalline CrRh2Br at its relaxed geometry at the PBE level of DFT.

raw formation energy = 9.0 kcal/mol of atoms
distance to the lowest polymorph of the same formula = 0.1121 eV/atom

abc: 8.624 2.955 6.470
angles: 90.00 101.68 90.00
Fractional positions:
Cr  0.000  0.000  0.000
Cr  0.500  0.500  0.000
Rh  0.007  0.500  0.680
Rh  0.256  0.000  0.813
Rh  0.507  0.000  0.680
Rh  0.756  0.500  0.813
Br  0.099  0.500  0.309
Br  0.599  0.000  0.309



[7]
Computed, not measured: crystalline InMoW2 at its relaxed geometry at the PBE level of DFT.

DFT formation energy = 1.4 eV per formula unit

abc: 3.278 4.546 9.158
angles: 90.00 90.00 90.00
Fractional positions:
In  0.000  0.000  0.000
In  0.500  0.500  0.500
Mo  0.000  0.000  0.500
Mo  0.500  0.500  0.000
W  0.000  0.500  0.235
W  0.000  0.500  0.765
W  0.500  0.000  0.265
W  0.500  0.000  0.735



[8]
Computed, not measured: crystalline SrLiTl6 at its relaxed geometry at the PBE level of DFT.

distance to the lowest polymorph of the same formula = 0.0000 eV/atom
DFT formation energy = -1.2 eV per formula unit

abc: 4.922 4.922 9.570
angles: 90.00 90.00 90.00
Fractional positions:
Sr  0.000  0.000  0.000
Li  0.000  0.000  0.500
Tl  0.000  0.500  0.266
Tl  0.000  0.500  0.734
Tl  0.500  0.000  0.266
Tl  0.500  0.000  0.734
Tl  0.500  0.500  0.000
Tl  0.500  0.500  0.500